Density functional theory data (PBE) for a geometry-optimized LaReAu structure.

Lattice parameters (Å, degrees): 5.7155 5.7155 5.7155 143.03 143.03 53.28
With the nearest neighbours (Å) after each atom.
Element x y z (fractional)
La 0.0000 0.0000 0.0000  5 Re 3.03-3.30, 5 Au 3.03-3.30
Re 0.2962 0.2962 0.0000  4 Au 2.73, 1 La 3.03
Au 0.7031 0.7031 0.0000  4 Re 2.73, 1 La 3.03

## Properties
Energy of formation from the pure elements (kJ per mole of atoms): 35.7
Energy above the most stable polymorph in this dataset (eV per atom): 0.131

=====

Density functional theory data (PBE) for a geometry-optimized RbSc2MnPd structure.

Lattice parameters (Å, degrees): 4.9499 4.9499 5.0837 90.00 90.00 90.00
With the nearest neighbours (Å) after each atom.
Element x y z (fractional)
Rb 0.0000 0.0000 0.0000  4 Pd 3.50, 8 Sc 3.55
Sc 0.0000 0.5000 0.5000  2 Mn 2.47
Sc 0.5000 0.0000 0.5000  2 Mn 2.47
Mn 0.5000 0.5000 0.5000  4 Sc 2.47, 2 Pd 2.54
Pd 0.5000 0.5000 0.0000  2 Mn 2.54

## Properties
Energy of formation from the pure elements (kJ per mole of atoms): 45.1
Energy above the most stable polymorph in this dataset (eV per atom): 0.000

=====

Which formula does entry 1 have? LaReAu